No. 1
# Sm4Er5Th2 | Alexandria | GGA-PBE | optimized geometry
data_Sm4Er5Th2
_chemical_formula_sum 'Sm4 Er5 Th2'
_space_group_name_H-M_alt 'P -1'
_space_group_IT_number 2
_space_group_name_Hall '-P 1'
_cell_length_a 3.498
_cell_length_b 8.851
_cell_length_c 11.761
_cell_angle_alpha 84.57
_cell_angle_beta 89.76
_cell_angle_gamma 78.70
loop_
_atom_site_label
_atom_site_fract_x
_atom_site_fract_y
_atom_site_fract_z
_atom_site_occupancy
Sm1 0.076 0.273 0.172 1
Sm2 0.360 0.803 0.535 1
Er1 0.026 0.454 0.638 1
Er2 0.176 0.086 0.734 1
Er3 0.500 0.000 0.000 1
Th1 0.424 0.635 0.107 1
# total DFT energy (no corrections)	-5.06	eV/atom
# ΔE to the lowest computed polymorph	0.000	eV per atom
# calculated formation energy	0.07	eV per atom

=====

No. 2
# Sm3Er6Th | Alexandria | GGA-PBE | optimized geometry
data_Sm3Er6Th
_chemical_formula_sum 'Sm12 Er24 Th4'
_space_group_name_H-M_alt 'C m c 21'
_space_group_IT_number 36
_space_group_name_Hall 'C 2c -2'
_cell_length_a 9.406
_cell_length_b 15.201
_cell_length_c 9.019
_cell_angle_alpha 90.00
_cell_angle_beta 90.00
_cell_angle_gamma 90.00
loop_
_atom_site_label
_atom_site_fract_x
_atom_site_fract_y
_atom_site_fract_z
_atom_site_occupancy
Sm1 0.000 0.049 0.000 1
Sm2 0.174 0.353 0.513 1
Er1 0.000 0.215 0.744 1
Er2 0.000 0.445 0.872 1
Er3 0.180 0.149 0.352 1
Er4 0.239 0.438 0.183 1
Th1 0.000 0.275 0.104 1
# total DFT energy (no corrections)	-4.74	eV/atom
# ΔE to the lowest computed polymorph	0.000	eV per atom
# calculated formation energy	0.16	eV per atom